# 1
! Zn2Cu8Au PBE-GGA relaxed; values from VASP
&SYSTEM
  ibrav = 0, nat = 11, ntyp = 3
/
ATOMIC_SPECIES
Zn 65.41 Zn.upf
Au 196.97 Au.upf
Cu 63.55 Cu.upf
CELL_PARAMETERS angstrom
-0.873 5.004 -0.628
-2.729 2.186 5.682
2.097 3.014 5.572
ATOMIC_POSITIONS crystal
Zn 0.071 0.269 0.269
Zn 0.929 0.731 0.731
Au 0.000 0.000 0.000
Cu 0.664 0.153 0.653
Cu 0.336 0.347 0.847
Cu 0.608 0.219 0.219
Cu 0.392 0.781 0.781
Cu 0.664 0.653 0.153
Cu 0.336 0.847 0.347
Cu 0.232 0.432 0.432
Cu 0.768 0.568 0.568
! Mass density, g/cm3: 9.4
! Energy above the lowest structure with this stoichiometry, meV per atom: 0
! VASP energy, eV per formula unit: -37.867
! Energy of formation from the pure elements, meV/atom: 66.2



# 2
! Zn2Cu2Au PBE-GGA relaxed; values from VASP
&SYSTEM
  ibrav = 0, nat = 5, ntyp = 3
/
ATOMIC_SPECIES
Zn 65.41 Zn.upf
Cu 63.55 Cu.upf
Au 196.97 Au.upf
CELL_PARAMETERS angstrom
3.813 0.000 0.000
1.906 4.126 -0.018
1.906 0.244 4.506
ATOMIC_POSITIONS crystal
Zn 0.589 0.602 0.220
Zn 0.411 0.398 0.780
Cu 0.197 0.203 0.403
Cu 0.803 0.797 0.597
Au 0.000 0.000 0.000
! Mass density, g/cm3: 10.7
! Energy above the lowest structure with this stoichiometry, meV per atom: 0
! VASP energy, eV per formula unit: -14.627
! Energy of formation from the pure elements, meV/atom: -121.9



# 3
! Zn4Cu3Au2 PBE-GGA relaxed; values from VASP
&SYSTEM
  ibrav = 0, nat = 9, ntyp = 3
/
ATOMIC_SPECIES
Zn 65.41 Zn.upf
Cu 63.55 Cu.upf
Au 196.97 Au.upf
CELL_PARAMETERS angstrom
-0.675 3.727 0.540
-5.043 -0.416 -3.426
-1.162 -2.943 5.308
ATOMIC_POSITIONS crystal
Zn 0.553 0.339 0.107
Zn 0.778 0.665 0.555
Zn 0.447 0.661 0.893
Zn 0.222 0.335 0.445
Cu 0.892 0.353 0.784
Cu 0.108 0.647 0.216
Cu 0.000 0.000 0.000
Au 0.342 0.006 0.684
Au 0.658 0.994 0.316
! Mass density, g/cm3: 10.8
! Energy above the lowest structure with this stoichiometry, meV per atom: 27
! VASP energy, eV per formula unit: -24.888
! Energy of formation from the pure elements, meV/atom: -105.4



Q: Number 2 is which compound?
A: Zn2Cu2Au